# HfSc3Hg4 | Alexandria via LeMat-Bulk | PBE-GGA | relaxed
# Raw total energy in eV/atom: -4.076
# Energy relative to the elements in eV per atom: -0.307
data_HfSc3Hg4
_space_group_name_H-M_alt 'R -3 m'
_space_group_IT_number 166
_space_group_name_Hall '-R 3 2"'
_cell_length_a 4.9672
_cell_length_b 4.9672
_cell_length_c 24.3308
_cell_angle_alpha 90.00
_cell_angle_beta 90.00
_cell_angle_gamma 120.00
loop_
_atom_site_label
_atom_site_type_symbol
_atom_site_fract_x
_atom_site_fract_y
_atom_site_fract_z
Hf1 Hf 0.0000 0.0000 0.0000
Sc1 Sc 0.0000 0.0000 0.2515
Sc2 Sc 0.0000 0.0000 0.5000
Hg1 Hg 0.0000 0.0000 0.1259
Hg2 Hg 0.0000 0.0000 0.3758

=====

# Li2AcThTe4 | Alexandria via LeMat-Bulk | PBE-GGA | relaxed
# Raw total energy in eV/atom: -4.684
# E_form (uncorrected) in eV per formula unit: -9.55
data_Li2AcThTe4
_space_group_name_H-M_alt 'P 1 2/m 1'
_space_group_IT_number 10
_cell_length_a 7.642
_cell_length_b 4.474
_cell_length_c 7.832
_cell_angle_alpha 90.00
_cell_angle_beta 109.67
_cell_angle_gamma 90.00
loop_
_space_group_symop_operation_xyz
'x,y,z'
'-x,-y,-z'
'-x,y,-z'
'x,-y,z'
loop_
_atom_site_label
_atom_site_type_symbol
_atom_site_fract_x
_atom_site_fract_y
_atom_site_fract_z
Li1 Li 0.000 0.000 0.000
Li2 Li 0.000 0.500 0.500
Ac1 Ac 0.500 0.000 0.500
Th1 Th 0.500 0.500 0.000
Te1 Te 0.226 0.500 0.228
Te2 Te 0.232 0.000 0.756

=====

# TbGeRu | Alexandria via LeMat-Bulk | PBE-GGA | relaxed
# Raw total energy in eV/atom: -6.486
# Energy relative to the elements in eV per atom: -0.311
data_TbGeRu
_space_group_name_H-M_alt 'P m m a'
_space_group_IT_number 51
_cell_length_a 4.821
_cell_length_b 4.219
_cell_length_c 6.309
_cell_angle_alpha 90.00
_cell_angle_beta 90.00
_cell_angle_gamma 90.00
loop_
_space_group_symop_operation_xyz
'x,y,z'
'-x,-y,-z'
'-x+1/2,-y,z'
'x+1/2,y,-z'
'x+1/2,-y,-z'
'-x+1/2,y,z'
'-x,y,-z'
'x,-y,z'
loop_
_atom_site_label
_atom_site_type_symbol
_atom_site_fract_x
_atom_site_fract_y
_atom_site_fract_z
Tb1 Tb 0.250 0.000 0.242
Ge1 Ge 0.250 0.500 0.867
Ru1 Ru 0.000 0.500 0.500

=====

# LiHf3B | Alexandria via LeMat-Bulk | PBE-GGA | relaxed
# Raw total energy in eV/atom: -7.608
# Excess energy over the best structure of this formula in the dataset in eV/atom: 0.0000
# Energy relative to the elements in eV per atom: 0.082
data_LiHf3B
_space_group_name_H-M_alt 'P m -3 m'
_space_group_IT_number 221
_space_group_name_Hall '-P 4 2 3'
_cell_length_a 4.609
_cell_length_b 4.609
_cell_length_c 4.609
_cell_angle_alpha 90.00
_cell_angle_beta 90.00
_cell_angle_gamma 90.00
loop_
_atom_site_label
_atom_site_type_symbol
_atom_site_fract_x
_atom_site_fract_y
_atom_site_fract_z
Li1 Li 0.000 0.000 0.000
Hf1 Hf 0.000 0.500 0.500
B1 B 0.500 0.500 0.500

=====

# CsRbWS4 | Alexandria via LeMat-Bulk | PBE-GGA | relaxed
# Raw total energy in eV/atom: -5.493
# E_form (uncorrected) in eV per formula unit: -7.17
data_CsRbWS4
_space_group_name_H-M_alt 'P 1 21/m 1'
_space_group_IT_number 11
_cell_length_a 7.036
_cell_length_b 7.243
_cell_length_c 10.279
_cell_angle_alpha 90.00
_cell_angle_beta 109.82
_cell_angle_gamma 90.00
loop_
_space_group_symop_operation_xyz
'x,y,z'
'-x,-y,-z'
'-x,y+1/2,-z'
'x,-y+1/2,z'
loop_
_atom_site_label
_atom_site_type_symbol
_atom_site_fract_x
_atom_site_fract_y
_atom_site_fract_z
Cs1 Cs 0.157 0.250 0.404
Rb1 Rb 0.292 0.250 0.982
W1 W 0.324 0.750 0.218
S1 S 0.093 0.750 0.321
S2 S 0.180 0.750 0.990
S3 S 0.482 0.004 0.718

=====

# Zn2InAu | Alexandria via LeMat-Bulk | PBE-GGA | relaxed
# Raw total energy in eV/atom: -2.158
# Energy relative to the elements in eV per atom: -0.017
data_Zn2InAu
_space_group_name_H-M_alt 'P 4/m m m'
_space_group_IT_number 123
_space_group_name_Hall '-P 4 2'
_cell_length_a 3.109
_cell_length_b 3.109
_cell_length_c 7.835
_cell_angle_alpha 90.00
_cell_angle_beta 90.00
_cell_angle_gamma 90.00
loop_
_atom_site_label
_atom_site_type_symbol
_atom_site_fract_x
_atom_site_fract_y
_atom_site_fract_z
Zn1 Zn 0.000 0.000 0.215
In1 In 0.500 0.500 0.500
Au1 Au 0.500 0.500 0.000

=====

# La5Pm4Y | Alexandria via LeMat-Bulk | PBE-GGA | relaxed
# Raw total energy in eV/atom: -4.887
# Excess energy over the best structure of this formula in the dataset in eV/atom: 0.0000
# Energy relative to the elements in eV per atom: 0.123
data_La5Pm4Y
_space_group_name_H-M_alt 'P -1'
_space_group_IT_number 2
_cell_length_a 6.646
_cell_length_b 6.889
_cell_length_c 8.495
_cell_angle_alpha 78.59
_cell_angle_beta 70.71
_cell_angle_gamma 86.91
loop_
_space_group_symop_operation_xyz
'x,y,z'
'-x,-y,-z'
loop_
_atom_site_label
_atom_site_type_symbol
_atom_site_fract_x
_atom_site_fract_y
_atom_site_fract_z
La1 La 0.000 0.000 0.000
La2 La 0.103 0.765 0.448
La3 La 0.345 0.368 0.698
Pm1 Pm 0.214 0.479 0.106
Pm2 Pm 0.469 0.834 0.676
Y1 Y 0.500 0.000 0.000

=====

# K2NpAuS4 | Alexandria via LeMat-Bulk | PBE-GGA | relaxed
# Raw total energy in eV/atom: -5.174
# E_form (uncorrected) in eV per formula unit: -6.47
data_K2NpAuS4
_space_group_name_H-M_alt 'I -4 2 m'
_space_group_IT_number 121
_space_group_name_Hall 'I -4 2'
_cell_length_a 7.779
_cell_length_b 7.779
_cell_length_c 6.733
_cell_angle_alpha 90.00
_cell_angle_beta 90.00
_cell_angle_gamma 90.00
loop_
_atom_site_label
_atom_site_type_symbol
_atom_site_fract_x
_atom_site_fract_y
_atom_site_fract_z
K1 K 0.000 0.500 0.000
Np1 Np 0.000 0.000 0.000
Au1 Au 0.000 0.000 0.500
S1 S 0.173 0.173 0.748

=====

Short version: theoretical density = 10691, 6476, 8609, 9382, 3575, 9704, 6292, 5221 kg/m3, in the order given.
Short version: M_tot = 0.204, 0.000, 0.000, 0.000, 0.000, 0.000, 0.000, 0.249 μB per atom, in the order given.